# 1
{
  "formula": "SrInAu",
  "functional": "PBE",
  "state": "optimized geometry",
  "cell": [[7.689, 0.000, 0.000], [0.000, 4.796, 0.000], [0.000, 0.000, 8.607]],
  "species": ["Sr", "Sr", "Sr", "Sr", "In", "In", "In", "In", "Au", "Au", "Au", "Au"],
  "fractional_positions": [[0.024, 0.250, 0.185], [0.476, 0.750, 0.685], [0.524, 0.250, 0.315], [0.976, 0.750, 0.815], [0.157, 0.250, 0.566], [0.343, 0.750, 0.066], [0.657, 0.250, 0.934], [0.843, 0.750, 0.434], [0.221, 0.750, 0.385], [0.279, 0.250, 0.885], [0.721, 0.750, 0.115], [0.779, 0.250, 0.615]],
  "total_energy_ev_per_atom": -3.217,
  "density_g_cm3": 8.36
}

# 2
{
  "formula": "LiLaZrPd",
  "functional": "PBE",
  "state": "optimized geometry",
  "cell": [[0.000, 3.426, 3.426], [3.426, 0.000, 3.426], [3.426, 3.426, 0.000]],
  "species": ["Li", "La", "Zr", "Pd"],
  "fractional_positions": [[0.000, 0.000, 0.000], [0.750, 0.750, 0.750], [0.500, 0.500, 0.500], [0.250, 0.250, 0.250]],
  "de_polymorph_kj_per_mol_atoms": 0.00,
  "total_energy_ev_per_atom": -5.252,
  "density_g_cm3": 7.09
}

# 3
{
  "formula": "FeCuPbW",
  "functional": "PBE",
  "state": "optimized geometry",
  "cell": [[0.000, 3.133, 3.133], [3.133, 0.000, 3.133], [3.133, 3.133, 0.000]],
  "species": ["Fe", "Cu", "Pb", "W"],
  "fractional_positions": [[0.000, 0.000, 0.000], [0.500, 0.500, 0.500], [0.250, 0.250, 0.250], [0.750, 0.750, 0.750]],
  "de_polymorph_kj_per_mol_atoms": 0.00,
  "total_energy_ev_per_atom": -6.424,
  "density_g_cm3": 13.78
}

# 4
{
  "formula": "YAgBAu",
  "functional": "PBE",
  "state": "optimized geometry",
  "cell": [[0.000, 3.304, 3.304], [3.304, 0.000, 3.304], [3.304, 3.304, 0.000]],
  "species": ["Y", "Ag", "B", "Au"],
  "fractional_positions": [[0.000, 0.000, 0.000], [0.750, 0.750, 0.750], [0.500, 0.500, 0.500], [0.250, 0.250, 0.250]],
  "de_polymorph_kj_per_mol_atoms": 19.05,
  "total_energy_ev_per_atom": -4.461,
  "density_g_cm3": 9.31
}

# 5
{
  "formula": "HfBi2Pt",
  "functional": "PBE",
  "state": "optimized geometry",
  "cell": [[0.000, 3.611, 3.611], [3.611, 0.000, 3.611], [3.611, 3.611, 0.000]],
  "species": ["Hf", "Bi", "Bi", "Pt"],
  "fractional_positions": [[0.000, 0.000, 0.000], [0.250, 0.250, 0.250], [0.500, 0.500, 0.500], [0.750, 0.750, 0.750]],
  "total_energy_ev_per_atom": -5.931,
  "density_g_cm3": 13.96
}

# 6
{
  "formula": "ZnOsPd2",
  "functional": "PBE",
  "state": "optimized geometry",
  "cell": [[0.000, 3.096, 3.096], [3.096, 0.000, 3.096], [3.096, 3.096, 0.000]],
  "species": ["Zn", "Os", "Pd", "Pd"],
  "fractional_positions": [[0.000, 0.000, 0.000], [0.750, 0.750, 0.750], [0.250, 0.250, 0.250], [0.500, 0.500, 0.500]],
  "total_energy_ev_per_atom": -5.467,
  "density_g_cm3": 13.10,
  "delta_e_f_kj_per_mol_atoms": 23.4
}

# 7
{
  "formula": "Pa2Se4Cl",
  "functional": "PBE",
  "state": "optimized geometry",
  "cell": [[4.204, -5.391, 0.000], [4.204, 5.391, 0.000], [-0.009, 0.000, 4.042]],
  "species": ["Pa", "Pa", "Se", "Se", "Se", "Se", "Cl"],
  "fractional_positions": [[0.000, 0.500, 0.000], [0.500, 0.000, 0.000], [0.191, 0.191, 0.003], [0.218, 0.782, 0.500], [0.782, 0.218, 0.500], [0.809, 0.809, 0.997], [0.500, 0.500, 0.500]],
  "total_energy_ev_per_atom": -5.768,
  "density_g_cm3": 7.37
}

# 8
{
  "formula": "DySnAuS3",
  "functional": "PBE",
  "state": "optimized geometry",
  "cell": [[7.633, 0.000, 0.000], [0.000, 3.992, 0.000], [-2.775, 0.000, 9.215]],
  "species": ["Dy", "Dy", "Sn", "Sn", "Au", "Au", "S", "S", "S", "S", "S", "S"],
  "fractional_positions": [[0.200, 0.250, 0.163], [0.800, 0.750, 0.837], [0.213, 0.750, 0.704], [0.787, 0.250, 0.296], [0.365, 0.750, 0.422], [0.635, 0.250, 0.578], [0.071, 0.250, 0.868], [0.174, 0.250, 0.455], [0.450, 0.750, 0.188], [0.550, 0.250, 0.812], [0.826, 0.750, 0.545], [0.929, 0.750, 0.132]],
  "de_polymorph_kj_per_mol_atoms": 9.54,
  "total_energy_ev_per_atom": -4.956,
  "density_g_cm3": 6.79
}

# 9
{
  "formula": "ErSnAsO",
  "functional": "PBE",
  "state": "optimized geometry",
  "cell": [[3.982, 0.000, 0.000], [0.000, 8.293, 0.000], [0.000, 0.000, 6.006]],
  "species": ["Er", "Er", "Sn", "Sn", "As", "As", "O", "O"],
  "fractional_positions": [[0.000, 0.161, 0.000], [0.000, 0.839, 0.500], [0.500, 0.376, 0.616], [0.500, 0.624, 0.116], [0.000, 0.179, 0.480], [0.000, 0.821, 0.980], [0.500, 0.241, 0.938], [0.500, 0.759, 0.438]],
  "de_polymorph_kj_per_mol_atoms": 1.08,
  "total_energy_ev_per_atom": -5.980,
  "density_g_cm3": 6.31
}

# 10
{
  "formula": "CsMoAuS3",
  "functional": "PBE",
  "state": "optimized geometry",
  "cell": [[1.908, -7.941, 0.000], [1.908, 7.941, 0.000], [0.000, 0.000, 9.851]],
  "species": ["Cs", "Cs", "Mo", "Mo", "Au", "Au", "S", "S", "S", "S", "S", "S"],
  "fractional_positions": [[0.248, 0.752, 0.750], [0.752, 0.248, 0.250], [0.500, 0.500, 0.000], [0.500, 0.500, 0.500], [0.054, 0.946, 0.250], [0.946, 0.054, 0.750], [0.104, 0.896, 0.023], [0.104, 0.896, 0.477], [0.442, 0.558, 0.250], [0.558, 0.442, 0.750], [0.896, 0.104, 0.523], [0.896, 0.104, 0.977]],
  "total_energy_ev_per_atom": -4.958,
  "density_g_cm3": 5.81
}

# 11
{
  "formula": "NpNi3",
  "functional": "PBE",
  "state": "optimized geometry",
  "cell": [[3.798, 0.000, 0.000], [0.000, 3.798, 0.000], [0.000, 0.000, 3.798]],
  "species": ["Np", "Ni", "Ni", "Ni"],
  "fractional_positions": [[0.000, 0.000, 0.000], [0.000, 0.500, 0.500], [0.500, 0.000, 0.500], [0.500, 0.500, 0.000]],
  "total_energy_ev_per_atom": -7.405,
  "density_g_cm3": 12.52,
  "delta_e_f_kj_per_mol_atoms": -3.5
}

# 12
{
  "formula": "NaSrErTe3",
  "functional": "PBE",
  "state": "optimized geometry",
  "cell": [[8.439, 0.000, 0.000], [0.000, 4.497, 0.000], [-3.260, 0.000, 10.376]],
  "species": ["Na", "Na", "Sr", "Sr", "Er", "Er", "Te", "Te", "Te", "Te", "Te", "Te"],
  "fractional_positions": [[0.091, 0.250, 0.088], [0.909, 0.750, 0.912], [0.269, 0.250, 0.796], [0.731, 0.750, 0.204], [0.307, 0.750, 0.345], [0.693, 0.250, 0.655], [0.059, 0.250, 0.349], [0.297, 0.750, 0.044], [0.435, 0.750, 0.638], [0.565, 0.250, 0.362], [0.703, 0.250, 0.956], [0.941, 0.750, 0.651]],
  "total_energy_ev_per_atom": -4.131,
  "density_g_cm3": 5.57
}

# 13
{
  "formula": "NdMgHg6",
  "functional": "PBE",
  "state": "optimized geometry",
  "cell": [[6.631, 0.000, 0.000], [-3.316, 5.743, 0.000], [0.000, 0.000, 5.036]],
  "species": ["Nd", "Mg", "Hg", "Hg", "Hg", "Hg", "Hg", "Hg"],
  "fractional_positions": [[0.000, 0.000, 0.000], [0.667, 0.333, 0.500], [0.171, 0.342, 0.500], [0.171, 0.829, 0.500], [0.505, 0.010, 0.000], [0.505, 0.495, 0.000], [0.658, 0.829, 0.500], [0.990, 0.495, 0.000]],
  "total_energy_ev_per_atom": -1.226,
  "density_g_cm3": 11.88
}

# 14
{
  "formula": "TlZnI3",
  "functional": "PBE",
  "state": "optimized geometry",
  "cell": [[7.122, 0.000, 0.000], [1.035, 7.254, 0.000], [0.425, 3.398, 8.436]],
  "species": ["Tl", "Tl", "Zn", "Zn", "I", "I", "I", "I", "I", "I"],
  "fractional_positions": [[0.000, 0.000, 0.000], [0.496, 0.226, 0.527], [0.462, 0.481, 0.915], [0.959, 0.622, 0.615], [0.299, 0.542, 0.156], [0.313, 0.712, 0.629], [0.481, 0.110, 0.943], [0.790, 0.908, 0.374], [0.816, 0.581, 0.902], [0.979, 0.279, 0.584]],
  "total_energy_ev_per_atom": -2.270,
  "density_g_cm3": 4.96
}

# 15
{
  "formula": "RbGdFeSe3",
  "functional": "PBE",
  "state": "optimized geometry",
  "cell": [[2.085, -7.725, 0.000], [2.085, 7.725, 0.000], [0.000, 0.000, 10.909]],
  "species": ["Rb", "Rb", "Gd", "Gd", "Fe", "Fe", "Se", "Se", "Se", "Se", "Se", "Se"],
  "fractional_positions": [[0.243, 0.757, 0.750], [0.757, 0.243, 0.250], [0.500, 0.500, 0.000], [0.500, 0.500, 0.500], [0.031, 0.969, 0.250], [0.969, 0.031, 0.750], [0.121, 0.879, 0.068], [0.121, 0.879, 0.432], [0.438, 0.562, 0.250], [0.562, 0.438, 0.750], [0.879, 0.121, 0.568], [0.879, 0.121, 0.932]],
  "de_polymorph_kj_per_mol_atoms": 0.79,
  "total_energy_ev_per_atom": -5.272,
  "density_g_cm3": 5.06
}

# 16
{
  "formula": "ZrZn2Au",
  "functional": "PBE",
  "state": "optimized geometry",
  "cell": [[0.000, 3.263, 3.263], [3.263, 0.000, 3.263], [3.263, 3.263, 0.000]],
  "species": ["Zr", "Zn", "Zn", "Au"],
  "fractional_positions": [[0.000, 0.000, 0.000], [0.500, 0.500, 0.500], [0.750, 0.750, 0.750], [0.250, 0.250, 0.250]],
  "total_energy_ev_per_atom": -3.928,
  "density_g_cm3": 10.02,
  "delta_e_f_kj_per_mol_atoms": -33.1
}

# 17
{
  "formula": "CsPuF6",
  "functional": "PBE",
  "state": "optimized geometry",
  "cell": [[2.760, 1.594, 5.118], [-2.760, 1.594, 5.118], [0.000, -3.188, 5.118]],
  "species": ["Cs", "Pu", "F", "F", "F", "F", "F", "F"],
  "fractional_positions": [[0.000, 0.000, 0.000], [0.500, 0.500, 0.500], [0.074, 0.597, 0.597], [0.403, 0.403, 0.926], [0.403, 0.926, 0.403], [0.597, 0.074, 0.597], [0.597, 0.597, 0.074], [0.926, 0.403, 0.403]],
  "total_energy_ev_per_atom": -6.355,
  "density_g_cm3": 6.03
}

# 18
{
  "formula": "AlCoCuW",
  "functional": "PBE",
  "state": "optimized geometry",
  "cell": [[0.000, 2.963, 2.963], [2.963, 0.000, 2.963], [2.963, 2.963, 0.000]],
  "species": ["Al", "Co", "Cu", "W"],
  "fractional_positions": [[0.000, 0.000, 0.000], [0.250, 0.250, 0.250], [0.750, 0.750, 0.750], [0.500, 0.500, 0.500]],
  "de_polymorph_kj_per_mol_atoms": 0.00,
  "total_energy_ev_per_atom": -6.866,
  "density_g_cm3": 10.64
}

# 19
{
  "formula": "RbZrPdSeS2",
  "functional": "PBE",
  "state": "optimized geometry",
  "cell": [[8.746, 0.000, 0.000], [0.000, 3.836, 0.000], [-3.739, 0.000, 9.003]],
  "species": ["Rb", "Rb", "Zr", "Zr", "Pd", "Pd", "Se", "Se", "S", "S", "S", "S"],
  "fractional_positions": [[0.247, 0.250, 0.269], [0.753, 0.750, 0.731], [0.318, 0.750, 0.838], [0.682, 0.250, 0.162], [0.105, 0.250, 0.590], [0.895, 0.750, 0.410], [0.110, 0.250, 0.861], [0.890, 0.750, 0.139], [0.250, 0.750, 0.559], [0.466, 0.750, 0.133], [0.534, 0.250, 0.867], [0.750, 0.250, 0.441]],
  "de_polymorph_kj_per_mol_atoms": 2.74,
  "total_energy_ev_per_atom": -5.561,
  "density_g_cm3": 4.69
}

# 20
{
  "formula": "ZrCdB4",
  "functional": "PBE",
  "state": "optimized geometry",
  "cell": [[-1.574, 2.648, 3.876], [1.574, -2.648, 3.876], [1.574, 2.648, -3.876]],
  "species": ["Zr", "Cd", "B", "B", "B", "B"],
  "fractional_positions": [[0.000, 0.000, 0.000], [0.500, 0.500, 0.000], [0.067, 0.740, 0.327], [0.413, 0.740, 0.673], [0.587, 0.260, 0.327], [0.933, 0.260, 0.673]],
  "de_polymorph_kj_per_mol_atoms": 0.30,
  "total_energy_ev_per_atom": -6.180,
  "density_g_cm3": 6.35
}

# 21
{
  "formula": "TlZnNiHg",
  "functional": "PBE",
  "state": "optimized geometry",
  "cell": [[0.000, 3.365, 3.365], [3.365, 0.000, 3.365], [3.365, 3.365, 0.000]],
  "species": ["Tl", "Zn", "Ni", "Hg"],
  "fractional_positions": [[0.000, 0.000, 0.000], [0.500, 0.500, 0.500], [0.750, 0.750, 0.750], [0.250, 0.250, 0.250]],
  "total_energy_ev_per_atom": -2.008,
  "density_g_cm3": 11.53
}

# 22
{
  "formula": "ZnSn2Sb",
  "functional": "PBE",
  "state": "optimized geometry",
  "cell": [[0.000, 3.696, 3.696], [3.696, 0.000, 3.696], [3.696, 3.696, 0.000]],
  "species": ["Zn", "Sn", "Sn", "Sb"],
  "fractional_positions": [[0.000, 0.000, 0.000], [0.250, 0.250, 0.250], [0.500, 0.500, 0.500], [0.750, 0.750, 0.750]],
  "total_energy_ev_per_atom": -3.186,
  "density_g_cm3": 6.98
}

# 23
{
  "formula": "Mo2Br",
  "functional": "PBE",
  "state": "optimized geometry",
  "cell": [[0.000, 5.929, 5.929], [5.929, 0.000, 5.929], [5.929, 5.929, 0.000]],
  "species": ["Mo", "Mo", "Mo", "Mo", "Br", "Br"],
  "fractional_positions": [[0.000, 0.000, 0.000], [0.000, 0.000, 0.500], [0.000, 0.500, 0.000], [0.500, 0.000, 0.000], [0.125, 0.125, 0.125], [0.875, 0.875, 0.875]],
  "de_polymorph_kj_per_mol_atoms": 168.38,
  "total_energy_ev_per_atom": -4.786,
  "density_g_cm3": 2.17
}

# 24
{
  "formula": "BeNiGeW",
  "functional": "PBE",
  "state": "optimized geometry",
  "cell": [[0.000, 2.941, 2.941], [2.941, 0.000, 2.941], [2.941, 2.941, 0.000]],
  "species": ["Be", "Ni", "Ge", "W"],
  "fractional_positions": [[0.000, 0.000, 0.000], [0.500, 0.500, 0.500], [0.250, 0.250, 0.250], [0.750, 0.750, 0.750]],
  "total_energy_ev_per_atom": -6.266,
  "density_g_cm3": 10.59
}

# 25
{
  "formula": "NdBCl6",
  "functional": "PBE",
  "state": "optimized geometry",
  "cell": [[9.169, 0.000, 0.000], [-4.584, 7.940, 0.000], [0.000, 0.000, 3.238]],
  "species": ["Nd", "B", "Cl", "Cl", "Cl", "Cl", "Cl", "Cl"],
  "fractional_positions": [[0.000, 0.000, 0.000], [0.667, 0.333, 0.500], [0.088, 0.821, 0.500], [0.179, 0.267, 0.500], [0.497, 0.144, 0.000], [0.647, 0.503, 0.000], [0.733, 0.912, 0.500], [0.856, 0.353, 0.000]],
  "de_polymorph_kj_per_mol_atoms": 0.00,
  "total_energy_ev_per_atom": -3.658,
  "density_g_cm3": 2.59
}

# 26
{
  "formula": "KPmAl",
  "functional": "PBE",
  "state": "optimized geometry",
  "cell": [[0.000, 3.777, 3.777], [3.777, 0.000, 3.777], [3.777, 3.777, 0.000]],
  "species": ["K", "Pm", "Al"],
  "fractional_positions": [[0.000, 0.000, 0.000], [0.750, 0.750, 0.750], [0.500, 0.500, 0.500]],
  "de_polymorph_kj_per_mol_atoms": 0.00,
  "total_energy_ev_per_atom": -2.517,
  "density_g_cm3": 3.25
}